Density functional theory data (PBE) for a geometry-optimized In2RuPb structure.

Computed properties:
- calculated formation energy (eV per atom) = 0.4473
- size of the total moment (μB/cell) = 0.0

Cell lengths 5.0105, 5.0105, 3.5054 Å; angles 90.00, 90.00, 90.00 degrees
With the nearest neighbours (Å) after each atom.
Fractional coordinates of all 4 atoms:
In (0.0000, 0.5000, 0.0000)  4 Pb 3.06, 4 Ru 3.06
In (0.5000, 0.0000, 0.0000)  4 Pb 3.06, 4 Ru 3.06
Ru (0.0000, 0.0000, 0.5000)  8 In 3.06
Pb (0.5000, 0.5000, 0.5000)  8 In 3.06

=====

Density functional theory data (PBE) for a geometry-optimized InRuPb2 structure.

Computed properties:
- calculated formation energy (eV per atom) = 0.5496
- size of the total moment (μB/cell) = 0.0

Cell lengths 5.0284, 5.0284, 3.7065 Å; angles 90.00, 90.00, 90.00 degrees
With the nearest neighbours (Å) after each atom.
Fractional coordinates of all 4 atoms:
In (0.0000, 0.0000, 0.0000)  8 Pb 3.12
Ru (0.5000, 0.5000, 0.0000)  8 Pb 3.12
Pb (0.0000, 0.5000, 0.5000)  4 In 3.12, 4 Ru 3.12
Pb (0.5000, 0.0000, 0.5000)  4 In 3.12, 4 Ru 3.12

=====

Density functional theory data (PBE) for a geometry-optimized In2RuPb structure.

Computed properties:
- calculated formation energy (eV per atom) = 0.4614
- size of the total moment (μB/cell) = 0.0

Cell lengths 3.5406, 4.9566, 5.0268 Å; angles 90.00, 90.00, 90.00 degrees
With the nearest neighbours (Å) after each atom.
Fractional coordinates of all 4 atoms:
In (0.0000, 0.0000, 0.0000)  4 Pb 3.05, 4 In 3.07
In (0.5000, 0.0000, 0.5000)  4 Ru 3.05, 4 In 3.07
Ru (0.0000, 0.5000, 0.5000)  4 In 3.05, 4 Pb 3.07
Pb (0.5000, 0.5000, 0.0000)  4 In 3.05, 4 Ru 3.07

=====

Density functional theory data (PBE) for a geometry-optimized InRuPb2 structure.

Computed properties:
- calculated formation energy (eV per atom) = 0.5420
- size of the total moment (μB/cell) = 0.0

Cell lengths 5.4763, 5.4763, 5.4763 Å; angles 130.33, 130.33, 72.87 degrees
With the nearest neighbours (Å) after each atom.
Fractional coordinates of all 4 atoms:
In (0.0000, 0.0000, 0.0000)  8 Pb 3.18-3.25, 4 Ru 3.18
Ru (0.7500, 0.2500, 0.5000)  8 Pb 3.18-3.25, 4 In 3.18
Pb (0.2500, 0.7500, 0.5000)  4 Pb 3.18, 4 In 3.18, 4 Ru 3.25
Pb (0.5000, 0.5000, 0.0000)  4 Pb 3.18, 4 Ru 3.18, 4 In 3.25

=====

Density functional theory data (PBE) for a geometry-optimized InRu2Pb structure.

Computed properties:
- calculated formation energy (eV per atom) = 0.5146
- size of the total moment (μB/cell) = 0.0

Cell lengths 3.1176, 4.4183, 5.5934 Å; angles 90.00, 90.01, 90.00 degrees
With the nearest neighbours (Å) after each atom.
Fractional coordinates of all 4 atoms:
In (0.0000, 0.0000, 0.0000)  4 Ru 2.68
Ru (0.3019, 0.5000, 0.2112)  1 Ru 2.67, 2 In 2.68, 2 Pb 2.81
Ru (0.6981, 0.5000, 0.7888)  1 Ru 2.67, 2 In 2.68, 2 Pb 2.81
Pb (0.5000, 0.0000, 0.5000)  4 Ru 2.81, 2 Pb 3.12

=====

Density functional theory data (PBE) for a geometry-optimized InRu2Pb structure.

Computed properties:
- calculated formation energy (eV per atom) = 0.2758
- size of the total moment (μB/cell) = 0.0

Cell lengths 4.6331, 4.6331, 3.2876 Å; angles 90.00, 90.00, 90.00 degrees
With the nearest neighbours (Å) after each atom.
Fractional coordinates of all 4 atoms:
In (0.0000, 0.0000, 0.0000)  8 Ru 2.84
Ru (0.0000, 0.5000, 0.5000)  4 In 2.84, 4 Pb 2.84
Ru (0.5000, 0.0000, 0.5000)  4 In 2.84, 4 Pb 2.84
Pb (0.5000, 0.5000, 0.0000)  8 Ru 2.84

=====

Density functional theory data (PBE) for a geometry-optimized InRu2Pb structure.

Computed properties:
- calculated formation energy (eV per atom) = 0.4996
- size of the total moment (μB/cell) = 0.0

Cell lengths 10.2470, 10.2470, 10.2470 Å; angles 16.96, 16.96, 16.96 degrees
With the nearest neighbours (Å) after each atom.
Fractional coordinates of all 4 atoms:
In (0.0000, 0.0000, 0.0000)  3 Ru 2.89, 6 In 3.02
Ru (0.4734, 0.4734, 0.4734)  3 Ru 2.61
Ru (0.7427, 0.7427, 0.7427)  3 Ru 2.61, 3 In 2.89
Pb (0.2217, 0.2217, 0.2217)  6 Pb 3.02, 3 Ru 3.03

=====

Density functional theory data (PBE) for a geometry-optimized In2RuPb structure.

Computed properties:
- calculated formation energy (eV per atom) = 0.2105
- size of the total moment (μB/cell) = 0.0

Cell lengths 7.2219, 7.2219, 7.2219 Å; angles 155.01, 142.77, 45.36 degrees
With the nearest neighbours (Å) after each atom.
Fractional coordinates of all 4 atoms:
In (0.1848, 0.1848, 0.0000)  2 Ru 2.92, 2 In 3.13
In (0.8152, 0.8152, 0.0000)  2 Ru 2.92, 2 In 3.13
Ru (0.0000, 0.5000, 0.5000)  4 Pb 2.78, 4 In 2.92
Pb (0.5000, 0.0000, 0.5000)  4 Ru 2.78

=====

Density functional theory data (PBE) for a geometry-optimized In2RuPb structure.

Computed properties:
- calculated formation energy (eV per atom) = 0.4285
- size of the total moment (μB/cell) = 0.5

Cell lengths 5.4191, 5.4191, 5.4191 Å; angles 131.81, 131.81, 70.53 degrees
With the nearest neighbours (Å) after each atom.
Fractional coordinates of all 4 atoms:
In (0.2500, 0.7500, 0.5000)  4 Pb 3.13, 4 Ru 3.13, 4 In 3.13
In (0.7500, 0.2500, 0.5000)  4 Pb 3.13, 4 Ru 3.13, 4 In 3.13
Ru (0.0000, 0.0000, 0.0000)  8 In 3.13, 4 Pb 3.13
Pb (0.5000, 0.5000, 0.0000)  8 In 3.13, 4 Ru 3.13

=====

Density functional theory data (PBE) for a geometry-optimized InRuPb2 structure.

Computed properties:
- calculated formation energy (eV per atom) = 0.3050
- size of the total moment (μB/cell) = 0.0

Cell lengths 10.1221, 10.1221, 10.1221 Å; angles 19.37, 19.37, 19.37 degrees
With the nearest neighbours (Å) after each atom.
Fractional coordinates of all 4 atoms:
In (0.0000, 0.0000, 0.0000)  6 In 3.41, 6 Pb 3.54
Ru (0.5000, 0.5000, 0.5000)  6 Pb 2.82
Pb (0.2343, 0.2343, 0.2343)  3 Ru 2.82
Pb (0.7657, 0.7657, 0.7657)  3 Ru 2.82

=====

Density functional theory data (PBE) for a geometry-optimized InRuPb2 structure.

Computed properties:
- calculated formation energy (eV per atom) = 0.2353
- size of the total moment (μB/cell) = 0.0

Cell lengths 3.3464, 3.3464, 8.6925 Å; angles 90.00, 90.00, 90.09 degrees
With the nearest neighbours (Å) after each atom.
Fractional coordinates of all 4 atoms:
In (0.0000, 0.0000, 0.0000)  4 In 3.35, 8 Pb 3.55
Ru (0.0000, 0.0000, 0.5000)  8 Pb 2.91-2.92
Pb (0.5000, 0.5000, 0.3041)  4 Ru 2.91-2.92
Pb (0.5000, 0.5000, 0.6959)  4 Ru 2.91-2.92

=====

Density functional theory data (PBE) for a geometry-optimized InRu2Pb structure.

Computed properties:
- calculated formation energy (eV per atom) = 0.4393
- size of the total moment (μB/cell) = 0.0

Cell lengths 4.6623, 4.6623, 5.5474 Å; angles 102.70, 102.70, 39.79 degrees
With the nearest neighbours (Å) after each atom.
Fractional coordinates of all 4 atoms:
In (0.0000, 0.0000, 0.0000)  6 Ru 2.72-2.75
Ru (0.2484, 0.2484, 0.7851)  3 In 2.72-2.75, 3 Pb 2.85-3.00, 2 Ru 2.86
Ru (0.7516, 0.7516, 0.2149)  3 In 2.72-2.75, 3 Pb 2.85-3.00, 2 Ru 2.86
Pb (0.5000, 0.5000, 0.5000)  6 Ru 2.85-3.00, 2 Pb 3.17, 4 In 3.20